(1)
{
  "formula": "PrInBr2",
  "functional": "PBE",
  "state": "optimized geometry",
  "sg": "R-3m (166)",
  "raw_formation_energy_ev_per_atom": -0.728,
  "dos_at_fermi_per_ev_cell": 2.2,
  "cell": [[2.044, 1.180, 10.322], [-2.044, 1.180, 10.322], [0.000, -2.360, 10.322]],
  "species": ["Pr", "In", "Br", "Br"],
  "frac_coords": [[0.000, 0.000, 0.000], [0.500, 0.500, 0.500], [0.093, 0.093, 0.093], [0.907, 0.907, 0.907]]
}

=====

(2)
{
  "formula": "Mn2Sb2PtRh",
  "functional": "PBE",
  "state": "optimized geometry",
  "sg": "R3m (160)",
  "raw_formation_energy_ev_per_atom": -0.004,
  "dos_at_fermi_per_ev_cell": 2.5,
  "cell": [[2.097, 1.211, 7.769], [-2.097, 1.211, 7.769], [0.000, -2.421, 7.769]],
  "species": ["Mn", "Mn", "Sb", "Sb", "Pt", "Rh"],
  "frac_coords": [[0.000, 0.000, 0.000], [0.500, 0.500, 0.500], [0.114, 0.114, 0.114], [0.617, 0.617, 0.617], [0.229, 0.229, 0.229], [0.732, 0.732, 0.732]]
}

=====

(3)
{
  "formula": "YTl",
  "functional": "PBE",
  "state": "optimized geometry",
  "sg": "Fddd (70)",
  "e_form_kj_per_mol_fu": -46,
  "dos_at_fermi_per_ev_cell": 8.8,
  "cell": [[0.000, 5.010, 6.180], [3.847, 0.000, 6.180], [3.847, 5.010, 0.000]],
  "species": ["Y", "Y", "Y", "Y", "Tl", "Tl", "Tl", "Tl"],
  "frac_coords": [[0.087, 0.663, 0.087], [0.337, 0.913, 0.337], [0.663, 0.087, 0.663], [0.913, 0.337, 0.913], [0.179, 0.571, 0.571], [0.429, 0.821, 0.821], [0.571, 0.179, 0.179], [0.821, 0.429, 0.429]]
}